# KRh2Cl | Alexandria via LeMat-Bulk | PBE | relaxed
# DOS at the Fermi energy   0.911 states/eV/atom
# Uncorrected formation energy   278 meV per atom
# Offset from the most stable computed form   1.30 eV per formula unit
data_KRh2Cl
_space_group_name_H-M_alt 'P 1'
_space_group_IT_number 1
_space_group_name_Hall 'P 1'
_cell_length_a 5.751
_cell_length_b 5.751
_cell_length_c 5.751
_cell_angle_alpha 143.09
_cell_angle_beta 116.14
_cell_angle_gamma 76.10
loop_
_atom_site_label
_atom_site_type_symbol
_atom_site_fract_x
_atom_site_fract_y
_atom_site_fract_z
K1 K 0.000 0.000 0.000
Rh1 Rh 0.473 0.473 0.000
Rh2 Rh 0.649 0.149 0.500
Cl1 Cl 0.293 0.793 0.500

=====

# KRh2Cl | Alexandria via LeMat-Bulk | PBE | relaxed
# DOS at the Fermi energy   0.939 states/eV/atom
# Uncorrected formation energy   5 meV per atom
# Offset from the most stable computed form   0.21 eV per formula unit
data_KRh2Cl
_space_group_name_H-M_alt 'P 1'
_space_group_IT_number 1
_space_group_name_Hall 'P 1'
_cell_length_a 3.281
_cell_length_b 3.281
_cell_length_c 7.838
_cell_angle_alpha 90.00
_cell_angle_beta 90.00
_cell_angle_gamma 90.00
loop_
_atom_site_label
_atom_site_type_symbol
_atom_site_fract_x
_atom_site_fract_y
_atom_site_fract_z
K1 K 0.000 0.000 0.000
Rh1 Rh 0.000 0.000 0.484
Rh2 Rh 0.500 0.500 0.348
Cl1 Cl 0.500 0.500 0.757

=====

# KRhCl | Alexandria via LeMat-Bulk | PBE | relaxed
# DOS at the Fermi energy   2.030 states/eV/atom
# Uncorrected formation energy   218 meV per atom
# Offset from the most stable computed form   1.22 eV per formula unit
data_KRhCl
_space_group_name_H-M_alt 'P 1'
_space_group_IT_number 1
_space_group_name_Hall 'P 1'
_cell_length_a 4.772
_cell_length_b 4.772
_cell_length_c 4.772
_cell_angle_alpha 60.00
_cell_angle_beta 60.00
_cell_angle_gamma 60.00
loop_
_atom_site_label
_atom_site_type_symbol
_atom_site_fract_x
_atom_site_fract_y
_atom_site_fract_z
K1 K 0.000 0.000 0.000
Rh1 Rh 0.500 0.500 0.500
Cl1 Cl 0.250 0.250 0.250

=====

# K3RhCl | Alexandria via LeMat-Bulk | PBE | relaxed
# DOS at the Fermi energy   1.426 states/eV/atom
# Uncorrected formation energy   -173 meV per atom
# Offset from the most stable computed form   0.00 eV per formula unit
data_K3RhCl
_space_group_name_H-M_alt 'P 1'
_space_group_IT_number 1
_space_group_name_Hall 'P 1'
_cell_length_a 5.867
_cell_length_b 5.867
_cell_length_c 5.867
_cell_angle_alpha 90.00
_cell_angle_beta 90.00
_cell_angle_gamma 90.00
loop_
_atom_site_label
_atom_site_type_symbol
_atom_site_fract_x
_atom_site_fract_y
_atom_site_fract_z
K1 K 0.000 0.000 0.500
K2 K 0.000 0.500 0.000
K3 K 0.500 0.000 0.000
Rh1 Rh 0.500 0.500 0.500
Cl1 Cl 0.000 0.000 0.000

=====

# KRh2Cl | Alexandria via LeMat-Bulk | PBE | relaxed
# DOS at the Fermi energy   1.386 states/eV/atom
# Uncorrected formation energy   351 meV per atom
# Offset from the most stable computed form   1.60 eV per formula unit
data_KRh2Cl
_space_group_name_H-M_alt 'P 1'
_space_group_IT_number 1
_space_group_name_Hall 'P 1'
_cell_length_a 7.226
_cell_length_b 7.226
_cell_length_c 7.226
_cell_angle_alpha 149.46
_cell_angle_beta 149.46
_cell_angle_gamma 43.73
loop_
_atom_site_label
_atom_site_type_symbol
_atom_site_fract_x
_atom_site_fract_y
_atom_site_fract_z
K1 K 0.000 0.000 0.000
Rh1 Rh 0.250 0.750 0.500
Rh2 Rh 0.750 0.250 0.500
Cl1 Cl 0.500 0.500 0.000

=====

# KRhCl4 | Alexandria via LeMat-Bulk | PBE | relaxed
# Uncorrected formation energy   -995 meV per atom
# Offset from the most stable computed form   0.10 eV per formula unit
data_KRhCl4
_space_group_name_H-M_alt 'P 1'
_space_group_IT_number 1
_space_group_name_Hall 'P 1'
_cell_length_a 5.916
_cell_length_b 6.514
_cell_length_c 8.443
_cell_angle_alpha 105.57
_cell_angle_beta 110.45
_cell_angle_gamma 90.00
loop_
_atom_site_label
_atom_site_type_symbol
_atom_site_fract_x
_atom_site_fract_y
_atom_site_fract_z
K1 K 0.190 0.250 0.001
K2 K 0.810 0.750 0.999
Rh1 Rh 0.000 0.500 0.500
Rh2 Rh 0.500 0.000 0.500
Cl1 Cl 0.127 0.154 0.409
Cl2 Cl 0.251 0.578 0.801
Cl3 Cl 0.283 0.654 0.409
Cl4 Cl 0.450 0.922 0.199
Cl5 Cl 0.550 0.078 0.801
Cl6 Cl 0.717 0.346 0.591
Cl7 Cl 0.749 0.422 0.199
Cl8 Cl 0.873 0.846 0.591